Entry 1:
A relaxed structure of Au5C4. Source: Alexandria, functional GGA-PBE.

## Properties
- Formation energy: 2031 meV/atom
- Electronic total energy: -3.8889 eV per atom
- Space group: No. 193
- E above lowest polymorph: 938.7 meV per atom

Cell: 6.2472 6.2472 7.6039 Å, 90.00 90.00 120.00°
With the nearest neighbours (Å) after each atom.
Element x y z (fractional)
C1 0.0000 0.0000 0.0000  6 Au 2.56
C2 0.0000 0.0000 0.5000  6 Au 2.56
C3 0.0000 0.3906 0.2500  3 Au 2.10-2.17
C4 0.6094 0.6094 0.2500  3 Au 2.10-2.17
C5 0.3906 0.0000 0.2500  3 Au 2.10-2.17
C6 0.0000 0.6094 0.7500  3 Au 2.10-2.17
C7 0.3906 0.3906 0.7500  3 Au 2.10-2.17
C8 0.6094 0.0000 0.7500  3 Au 2.10-2.17
Au1 0.0000 0.7265 0.2500  3 C 2.10-2.17
Au2 0.2735 0.2735 0.2500  3 C 2.10-2.17
Au3 0.7265 0.0000 0.2500  3 C 2.10-2.17
Au4 0.0000 0.2735 0.7500  3 C 2.10-2.17
Au5 0.7265 0.7265 0.7500  3 C 2.10-2.17
Au6 0.2735 0.0000 0.7500  3 C 2.10-2.17
Au7 0.6667 0.3333 0.0000  6 C 2.71, 6 Au 2.98
Au8 0.3333 0.6667 0.5000  6 C 2.71, 6 Au 2.98
Au9 0.3333 0.6667 0.0000  6 C 2.71, 6 Au 2.98
Au10 0.6667 0.3333 0.5000  6 C 2.71, 6 Au 2.98



Entry 2:
A relaxed structure of La2Al3Cu7. Source: Alexandria, functional GGA-PBE.

## Properties
- Formation energy: -338 meV/atom
- Electronic total energy: -4.4845 eV per atom
- Space group: No. 10

Cell: 4.2016 5.3013 9.0710 Å, 89.12 90.00 90.00°
With the nearest neighbours (Å) after each atom.
Element x y z (fractional)
La1 0.0000 0.2472 0.7488  10 Cu 3.00-3.36, 4 Al 3.35
La2 0.0000 0.7528 0.2512  10 Cu 3.00-3.36, 4 Al 3.35
Al1 0.5000 0.7403 0.7437  7 Cu 2.56-2.63, 1 Al 2.72
Al2 0.5000 0.2596 0.2563  7 Cu 2.56-2.63, 1 Al 2.72
Al3 0.5000 0.0000 0.0000  6 Cu 2.62-2.65, 2 Al 2.72
Cu1 0.0000 0.2560 0.0852  2 Cu 2.58, 4 Al 2.61-2.62
Cu2 0.0000 0.7503 0.5824  2 Al 2.56, 4 Cu 2.59-2.60
Cu3 0.0000 0.7440 0.9148  2 Cu 2.58, 4 Al 2.61-2.62
Cu4 0.0000 0.2497 0.4176  2 Al 2.56, 4 Cu 2.59-2.60
Cu5 0.5000 0.5000 0.5000  2 Al 2.57, 6 Cu 2.60-2.65
Cu6 0.5000 0.5000 0.0000  4 Cu 2.58, 4 Al 2.63-2.65
Cu7 0.5000 0.0000 0.5000  2 Al 2.59, 6 Cu 2.59-2.65



Entry 3:
A relaxed structure of NiIrW2. Source: Alexandria, functional GGA-PBE.

## Properties
- Formation energy: 91 meV/atom
- Electronic total energy: -10.0460 eV per atom
- Space group: No. 166

Cell: 8.9959 8.9959 8.9959 Å, 17.71 17.71 17.71°
With the nearest neighbours (Å) after each atom.
Element x y z (fractional)
Ir1 0.2500 0.2500 0.2500  6 W 2.77, 6 Ir 2.77
Ni1 0.7500 0.7500 0.7500  6 W 2.70, 6 Ni 2.77
W1 0.0016 0.0016 0.0016  3 Ni 2.70, 3 Ir 2.77, 6 W 2.77
W2 0.4984 0.4984 0.4984  3 Ni 2.70, 3 Ir 2.77, 6 W 2.77



Entry 4:
A relaxed structure of Pa6ZnTc5. Source: Alexandria, functional GGA-PBE.

## Properties
- Formation energy: -68 meV/atom
- Electronic total energy: -9.2410 eV per atom
- Space group: No. 12

Cell: 6.9131 7.0178 6.6153 Å, 57.97 81.57 73.95°
With the nearest neighbours (Å) after each atom.
Element x y z (fractional)
Pa1 0.7260 0.0951 0.3509  5 Tc 2.74-2.86, 1 Zn 3.01
Pa2 0.2740 0.5540 0.3509  5 Tc 2.74-2.86, 1 Zn 3.01
Pa3 0.2281 0.2875 0.0000  5 Tc 2.70-2.79, 1 Zn 2.88
Pa4 0.7719 0.7125 0.0000  5 Tc 2.70-2.79, 1 Zn 2.88
Pa5 0.7260 0.4460 0.6491  5 Tc 2.74-2.86, 1 Zn 3.01
Pa6 0.2740 0.9049 0.6491  5 Tc 2.74-2.86, 1 Zn 3.01
Zn1 0.0000 0.0000 0.0000  6 Pa 2.88-3.01
Tc1 0.5000 0.1347 0.7307  6 Pa 2.79-2.86, 1 Tc 3.02
Tc2 0.0000 0.3176 0.3648  6 Pa 2.76-2.81
Tc3 0.5000 0.5000 0.0000  6 Pa 2.70-2.74
Tc4 0.0000 0.6824 0.6352  6 Pa 2.76-2.81
Tc5 0.5000 0.8653 0.2693  6 Pa 2.79-2.86, 1 Tc 3.02



Entry 5:
A relaxed structure of Fe3AsW. Source: Alexandria, functional GGA-PBE.

## Properties
- Formation energy: 1579 meV/atom
- Electronic total energy: -7.0190 eV per atom
- Space group: No. 221
- E above lowest polymorph: 320.1 meV per atom

Cell: 4.5180 4.5180 4.5180 Å, 90.00 90.00 90.00°
With the nearest neighbours (Å) after each atom.
Element x y z (fractional)
As1 0.5000 0.5000 0.5000  12 Fe 3.19
Fe1 0.0000 0.5000 0.0000  2 W 2.26
Fe2 0.0000 0.0000 0.5000  2 W 2.26
Fe3 0.5000 0.0000 0.0000  2 W 2.26
W1 0.0000 0.0000 0.0000  6 Fe 2.26



Entry 6:
A relaxed structure of BaLiMgBi. Source: Alexandria, functional GGA-PBE.

## Properties
- Formation energy: -412 meV/atom
- Electronic total energy: -2.7402 eV per atom
- Space group: No. 129

Cell: 4.8632 4.8632 11.3602 Å, 90.00 90.00 90.00°
With the nearest neighbours (Å) after each atom.
Element x y z (fractional)
Ba1 0.7500 0.7500 0.2279  4 Li 3.55, 4 Bi 3.55, 4 Mg 3.93
Ba2 0.2500 0.2500 0.7721  4 Li 3.55, 4 Bi 3.55, 4 Mg 3.93
Li1 0.7500 0.2500 0.0000  4 Bi 2.96
Li2 0.2500 0.7500 0.0000  4 Bi 2.96
Mg1 0.2500 0.7500 0.5000  4 Mg 3.44
Mg2 0.7500 0.2500 0.5000  4 Mg 3.44
Bi1 0.7500 0.7500 0.8509  4 Li 2.96
Bi2 0.2500 0.2500 0.1491  4 Li 2.96



Entry 7:
A relaxed structure of BeTcSb2. Source: Alexandria, functional GGA-PBE.

## Properties
- Formation energy from raw total energies: 0.436 eV per atom
- Electronic total energy: -5.1483 eV per atom
- Space group: No. 123

Cell: 3.3358 3.3358 6.5035 Å, 90.00 90.00 90.00°
With the nearest neighbours (Å) after each atom.
Element x y z (fractional)
Sb1 0.0000 0.0000 0.0054  4 Tc 2.85, 4 Be 2.88, 1 Sb 3.18
Sb2 0.0000 0.0000 0.4946  4 Tc 2.85, 4 Be 2.88, 1 Sb 3.18
Tc1 0.5000 0.5000 0.2500  8 Sb 2.85
Be1 0.5000 0.5000 0.7500  8 Sb 2.88



Entry 8:
A relaxed structure of TaSnGe2B. Source: Alexandria, functional GGA-PBE.

## Properties
- Formation energy: 1314 meV/atom
- Electronic total energy: -5.0392 eV per atom
- Space group: No. 123

Cell: 4.9955 5.3885 4.9955 Å, 90.00 90.00 90.00°
With the nearest neighbours (Å) after each atom.
Element x y z (fractional)
Ge1 0.0000 0.0000 0.5000  2 Ta 2.50
Ge2 0.5000 0.0000 0.0000  2 Ta 2.50
B1 0.5000 0.5000 0.5000  4 Sn 3.53, 8 Ge 3.67
Sn1 0.0000 0.5000 0.0000  2 Ta 2.69
Ta1 0.0000 0.0000 0.0000  4 Ge 2.50, 2 Sn 2.69